Material: CsH2Pt
Method: DFT, PBE
State: relaxed Values from VASP.

```
&SYSTEM
  ibrav = 0, nat = 8, ntyp = 3
/
ATOMIC_SPECIES
Cs 132.91 Cs.upf
H 1.01 H.upf
Pt 195.08 Pt.upf
CELL_PARAMETERS angstrom
5.4727 0.0000 0.0000
0.0000 5.4727 0.0000
2.7363 2.7363 4.7634
ATOMIC_POSITIONS angstrom
Cs 2.7363 2.7363 0.0000
Cs 2.7363 5.4727 2.3817
H 5.4728 1.3682 1.1908
H 5.4726 4.1045 1.1908
H 4.1045 2.7362 3.5725
H 6.8408 2.7364 3.5725
Pt 0.0000 0.0000 0.0000
Pt 5.4727 2.7363 2.3817
```

The calculation puts the uncorrected energy at -27.8 eV per cell. The mass density is 7.68 g cm⁻³.